The following is a PBE-GGA calculation of a geometry-optimized MgPOsO2 structure, from the Alexandria database.

Calculated values
Energy above the most stable polymorph in this dataset (meV per atom): 0
Magnetization (μB/cell): 0.60
Energy (eV per formula unit): -31.2
E_form (uncorrected) (eV/atom): -0.613
SG: No. 123

Lattice parameters (Å, degrees): 3.780 3.780 5.286 90.00 90.00 90.00
Sites, in units of the cell vectors:
Mg1 0.000 0.000 0.000
P1 0.500 0.500 0.000
Os1 0.500 0.500 0.500
O1 0.000 0.500 0.500
O2 0.500 0.000 0.500